Entry 1:
Material: BeCd2Hg
Method: DFT, GGA-PBE
State: optimized geometry

Structure (POSCAR):
```
BeCd2Hg
1.0
4.318 0.000 0.000
0.000 4.243 0.000
0.000 0.000 4.243
Hg Cd Be
1 2 1
direct
0.500 0.500 0.000 Hg
0.000 0.000 0.000 Cd
0.000 0.500 0.500 Cd
0.500 0.000 0.500 Be
```

Summary:
* calculated density: 9.3 Mg/m³
* VASP energy: -1.08 eV/atom
* N(E_F): 1.80 states/eV/f.u.

Entry 2:
Material: Ta8Ga2B
Method: DFT, GGA-PBE
State: optimized geometry

Structure (POSCAR):
```
Ta8Ga2B
1.0
-1.940 -2.301 3.342
-1.403 -4.051 -3.602
8.194 0.093 1.795
Ta B Ga
8 1 2
direct
0.778 0.677 0.557 Ta
0.015 0.772 0.030 Ta
0.634 0.992 0.269 Ta
0.366 0.008 0.731 Ta
0.585 0.447 0.170 Ta
0.415 0.553 0.830 Ta
0.985 0.228 0.970 Ta
0.222 0.323 0.443 Ta
0.500 0.000 0.000 B
0.823 0.256 0.645 Ga
0.177 0.744 0.355 Ga
```

Summary:
* calculated density: 14.3 Mg/m³
* VASP energy: -9.80 eV/atom
* N(E_F): 6.34 states/eV/f.u.

Entry 3:
Material: CaBiPd2Pb
Method: DFT, GGA-PBE
State: optimized geometry

Structure (POSCAR):
```
CaBiPd2Pb
1.0
-2.980 -4.063 -1.012
-0.446 -1.102 5.740
-4.169 2.995 0.251
Bi Pb Pd Ca
1 1 2 1
direct
0.000 0.000 0.000 Bi
0.000 0.500 0.000 Pb
0.000 0.000 0.500 Pd
0.500 0.000 0.000 Pd
0.500 0.500 0.500 Ca
```

Summary:
* calculated density: 7.2 Mg/m³
* VASP energy: -3.86 eV/atom
* N(E_F): 2.01 states/eV/f.u.

Entry 4:
Material: Ho4Pd2RuAu
Method: DFT, GGA-PBE
State: optimized geometry

Structure (POSCAR):
```
Ho4Pd2RuAu
1.0
-4.102 0.191 2.732
-1.127 -3.732 3.021
2.388 2.391 7.871
Pd Ho Au Ru
2 4 1 1
direct
0.752 0.752 0.745 Pd
0.248 0.248 0.255 Pd
0.620 0.620 0.139 Ho
0.128 0.128 0.615 Ho
0.380 0.380 0.861 Ho
0.872 0.872 0.385 Ho
0.000 0.000 0.000 Au
0.500 0.500 0.500 Ru
```

Summary:
* calculated density: 11.4 Mg/m³
* VASP energy: -5.94 eV/atom
* N(E_F): 3.48 states/eV/f.u.

Entry 5:
Material: CsP2CS
Method: DFT, GGA-PBE
State: optimized geometry

Structure (POSCAR):
```
CsP2CS
1.0
7.970 0.000 0.000
0.000 7.970 0.000
0.000 0.000 5.679
Cs P S C
1 2 1 1
direct
0.000 0.000 0.000 Cs
0.000 0.500 0.000 P
0.500 0.000 0.000 P
0.000 0.000 0.500 S
0.500 0.500 0.500 C
```

Summary:
* calculated density: 1.1 Mg/m³
* raw formation energy: 2.972 eV/atom
* VASP energy: -2.03 eV/atom
* N(E_F): 15.20 states/eV/f.u.

Entry 6:
Material: La4SmHo
Method: DFT, GGA-PBE
State: optimized geometry

Structure (POSCAR):
```
La4SmHo
1.0
6.381 0.435 0.929
3.085 5.603 0.929
-0.842 -0.537 6.035
La Ho Sm
4 1 1
direct
0.843 0.843 0.500 La
0.658 0.658 0.001 La
0.157 0.157 0.500 La
0.342 0.342 0.999 La
0.000 0.000 0.000 Ho
0.500 0.500 0.500 Sm
```

Summary:
* calculated density: 6.8 Mg/m³
* VASP energy: -4.74 eV/atom
* N(E_F): 11.89 states/eV/f.u.

Entry 7:
Material: CaDy7Tm2
Method: DFT, GGA-PBE
State: optimized geometry

Structure (POSCAR):
```
CaDy7Tm2
1.0
4.746 1.453 -0.689
2.485 7.106 -4.379
-1.047 -0.190 10.620
Dy Tm Ca
7 2 1
direct
0.707 0.897 0.207 Dy
0.809 0.587 0.794 Dy
0.500 0.500 0.000 Dy
0.898 0.306 0.407 Dy
0.191 0.413 0.206 Dy
0.293 0.103 0.793 Dy
0.102 0.694 0.593 Dy
0.401 0.799 0.400 Tm
0.599 0.201 0.600 Tm
0.000 0.000 0.000 Ca
```

Summary:
* calculated density: 7.9 Mg/m³
* VASP energy: -4.26 eV/atom
* N(E_F): 14.76 states/eV/f.u.

Entry 8:
Material: MgMn2Pt
Method: DFT, GGA-PBE
State: optimized geometry

Structure (POSCAR):
```
MgMn2Pt
1.0
-0.983 -3.002 0.743
1.904 -1.202 -2.336
4.592 -0.512 4.006
Mn Mg Pt
2 1 1
direct
0.000 0.000 0.016 Mn
0.000 0.000 0.484 Mn
0.500 0.500 0.750 Mg
0.500 0.500 0.250 Pt
```

Summary:
* calculated density: 8.5 Mg/m³
* VASP energy: -6.55 eV/atom
* N(E_F): 2.21 states/eV/f.u.

Entry 9:
Material: Y2MgTlO
Method: DFT, GGA-PBE
State: optimized geometry

Structure (POSCAR):
```
Y2MgTlO
1.0
-1.022 -4.081 2.353
4.407 0.022 1.953
-1.547 2.385 3.465
O Mg Y Tl
1 1 2 1
direct
0.000 0.000 0.000 O
0.000 0.000 0.500 Mg
0.000 0.500 0.000 Y
0.500 0.000 0.000 Y
0.500 0.500 0.500 Tl
```

Summary:
* calculated density: 6.7 Mg/m³
* raw formation energy: -1.257 eV/atom
* VASP energy: -5.63 eV/atom
* N(E_F): 2.17 states/eV/f.u.

Entry 10:
Material: HgPSe3
Method: DFT, GGA-PBE
State: optimized geometry

Structure (POSCAR):
```
HgPSe3
1.0
-4.671 1.664 1.620
0.901 -2.055 4.710
2.141 4.497 1.553
Se P Hg
3 1 1
direct
0.000 0.500 0.000 Se
0.500 0.000 0.000 Se
0.000 0.000 0.500 Se
0.500 0.500 0.500 P
0.000 0.000 0.000 Hg
```

Summary:
* calculated density: 5.5 Mg/m³
* raw formation energy: 1.181 eV/atom
* VASP energy: -2.05 eV/atom
* N(E_F): 5.04 states/eV/f.u.

Entry 11:
Material: BaGaSb2I
Method: DFT, GGA-PBE
State: optimized geometry

Structure (POSCAR):
```
BaGaSb2I
1.0
5.312 0.000 0.000
0.000 5.312 0.000
0.000 0.000 6.435
Ga Sb I Ba
1 2 1 1
direct
0.000 0.000 0.000 Ga
0.500 0.000 0.000 Sb
0.000 0.500 0.000 Sb
0.000 0.000 0.500 I
0.500 0.500 0.500 Ba
```

Summary:
* calculated density: 5.3 Mg/m³
* raw formation energy: -0.376 eV/atom
* VASP energy: -3.33 eV/atom
* N(E_F): 4.12 states/eV/f.u.

Entry 12:
Material: Pm6PrNi3
Method: DFT, GGA-PBE
State: optimized geometry

Structure (POSCAR):
```
Pm6PrNi3
1.0
7.184 0.000 0.000
0.000 8.623 -1.521
0.000 0.212 8.753
Pm Pr Ni
12 2 6
direct
0.663 0.968 0.032 Pm
0.171 0.708 0.629 Pm
0.318 0.583 0.966 Pm
0.508 0.228 0.772 Pm
0.818 0.966 0.583 Pm
0.818 0.417 0.034 Pm
0.671 0.629 0.708 Pm
0.671 0.292 0.371 Pm
0.008 0.772 0.228 Pm
0.171 0.371 0.292 Pm
0.163 0.032 0.968 Pm
0.318 0.034 0.417 Pm
0.044 0.323 0.677 Pr
0.544 0.677 0.323 Pr
0.878 0.577 0.423 Ni
0.457 0.292 0.089 Ni
0.378 0.423 0.577 Ni
0.457 0.911 0.708 Ni
0.957 0.708 0.911 Ni
0.957 0.089 0.292 Ni
```

Summary:
* calculated density: 7.2 Mg/m³
* VASP energy: -5.22 eV/atom
* N(E_F): 10.60 states/eV/f.u.

The lowest VASP energy belongs to which entry? Ta8Ga2B